Material: Dy2ErTm8
Method: DFT, PBE
State: relaxed

Computed properties:
total magnetization: 0.000 μB per atom
E: -49.3 eV/cell
density: 9246 kg/m3
space-group type: C2/m
energy of formation: 25 meV/atom

abc: 9.247 9.247 7.814
angles: 104.70 104.70 30.91
Atoms (fractional coordinates):
Dy (0.227, 0.227, 0.137)
Dy (0.773, 0.773, 0.863)
Er (0.500, 0.500, 0.500)
Tm (0.045, 0.045, 0.227)
Tm (0.136, 0.136, 0.681)
Tm (0.318, 0.318, 0.591)
Tm (0.410, 0.410, 0.046)
Tm (0.590, 0.590, 0.954)
Tm (0.682, 0.682, 0.409)
Tm (0.864, 0.864, 0.319)
Tm (0.955, 0.955, 0.773)

Material: MgTaHg2
Method: DFT, PBE
State: relaxed

Computed properties:
total magnetization: 0.000 μB per atom
E: -25.7 eV/cell
density: 12210 kg/m3
space-group type: C2/m
energy of formation: 304 meV/atom

abc: 9.422 3.034 5.841
angles: 90.00 98.97 90.00
Atoms (fractional coordinates):
Mg (0.000, 0.000, 0.000)
Mg (0.500, 0.500, 0.000)
Ta (0.000, 0.500, 0.500)
Ta (0.500, 0.000, 0.500)
Hg (0.249, 0.500, 0.256)
Hg (0.251, 0.000, 0.744)
Hg (0.749, 0.000, 0.256)
Hg (0.751, 0.500, 0.744)

Material: AgAsW2
Method: DFT, PBE
State: relaxed

Computed properties:
total magnetization: 0.000 μB per atom
E: -63.8 eV/cell
density: 13034 kg/m3
space-group type: Cmm2
energy of formation: 375 meV/atom

abc: 3.261 4.571 9.409
angles: 90.00 90.00 90.00
Atoms (fractional coordinates):
Ag (0.000, 0.000, 0.000)
Ag (0.500, 0.500, 0.000)
As (0.000, 0.500, 0.293)
As (0.500, 0.000, 0.293)
W (0.000, 0.000, 0.521)
W (0.000, 0.500, 0.746)
W (0.500, 0.000, 0.746)
W (0.500, 0.500, 0.521)

Material: Er5TlIr4
Method: DFT, PBE
State: relaxed

Computed properties:
total magnetization: 0.004 μB per atom
E: -68.3 eV/cell
density: 14281 kg/m3
space-group type: P4/mmm
energy of formation: -772 meV/atom

abc: 3.457 3.457 17.606
angles: 90.00 90.00 90.00
Atoms (fractional coordinates):
Er (0.000, 0.000, 0.000)
Er (0.000, 0.000, 0.188)
Er (0.000, 0.000, 0.375)
Er (0.000, 0.000, 0.625)
Er (0.000, 0.000, 0.812)
Tl (0.500, 0.500, 0.500)
Ir (0.500, 0.500, 0.094)
Ir (0.500, 0.500, 0.286)
Ir (0.500, 0.500, 0.714)
Ir (0.500, 0.500, 0.906)

Material: SrCd2H2
Method: DFT, PBE
State: relaxed

Computed properties:
total magnetization: 0.000 μB per atom
E: -18.9 eV/cell
density: 5528 kg/m3
space-group type: I4/mmm

abc: 4.388 4.388 9.810
angles: 90.00 90.00 90.00
Atoms (fractional coordinates):
Sr (0.000, 0.000, 0.000)
Sr (0.500, 0.500, 0.500)
Cd (0.000, 0.000, 0.344)
Cd (0.000, 0.000, 0.656)
Cd (0.500, 0.500, 0.156)
Cd (0.500, 0.500, 0.844)
H (0.000, 0.500, 0.250)
H (0.000, 0.500, 0.750)
H (0.500, 0.000, 0.250)
H (0.500, 0.000, 0.750)

Material: Rb2HoI4
Method: DFT, PBE
State: relaxed

Computed properties:
total magnetization: 0.076 μB per atom
E: -43.1 eV/cell
density: 4171 kg/m3
space-group type: I4/mmm
formation energy without anion corrections: -1.260 eV/atom

abc: 6.006 6.006 18.618
angles: 90.00 90.00 90.00
Atoms (fractional coordinates):
Rb (0.000, 0.000, 0.137)
Rb (0.000, 0.000, 0.863)
Rb (0.500, 0.500, 0.363)
Rb (0.500, 0.500, 0.637)
Ho (0.000, 0.000, 0.500)
Ho (0.500, 0.500, 0.000)
I (0.000, 0.000, 0.334)
I (0.000, 0.000, 0.666)
I (0.000, 0.500, 0.000)
I (0.000, 0.500, 0.500)
I (0.500, 0.000, 0.000)
I (0.500, 0.000, 0.500)
I (0.500, 0.500, 0.166)
I (0.500, 0.500, 0.834)

Material: Hf2CdI
Method: DFT, PBE
State: relaxed

Computed properties:
total magnetization: 0.000 μB per atom
E: -84.1 eV/cell
density: 11022 kg/m3
space-group type: Fm-3m
formation energy without anion corrections: 0.339 eV/atom

abc: 7.110 7.110 7.110
angles: 90.00 90.00 90.00
Atoms (fractional coordinates):
Hf (0.250, 0.250, 0.250)
Hf (0.250, 0.250, 0.750)
Hf (0.250, 0.750, 0.250)
Hf (0.250, 0.750, 0.750)
Hf (0.750, 0.250, 0.250)
Hf (0.750, 0.250, 0.750)
Hf (0.750, 0.750, 0.250)
Hf (0.750, 0.750, 0.750)
Cd (0.000, 0.000, 0.000)
Cd (0.000, 0.500, 0.500)
Cd (0.500, 0.000, 0.500)
Cd (0.500, 0.500, 0.000)
I (0.000, 0.000, 0.500)
I (0.000, 0.500, 0.000)
I (0.500, 0.000, 0.000)
I (0.500, 0.500, 0.500)

Material: Nd2YCd
Method: DFT, PBE
State: relaxed

Computed properties:
total magnetization: 0.000 μB per atom
E: -68.2 eV/cell
density: 6623 kg/m3
space-group type: Fm-3m
energy of formation: -31 meV/atom

abc: 7.890 7.890 7.890
angles: 90.00 90.00 90.00
Atoms (fractional coordinates):
Nd (0.250, 0.250, 0.250)
Nd (0.250, 0.250, 0.750)
Nd (0.250, 0.750, 0.250)
Nd (0.250, 0.750, 0.750)
Nd (0.750, 0.250, 0.250)
Nd (0.750, 0.250, 0.750)
Nd (0.750, 0.750, 0.250)
Nd (0.750, 0.750, 0.750)
Y (0.000, 0.000, 0.000)
Y (0.000, 0.500, 0.500)
Y (0.500, 0.000, 0.500)
Y (0.500, 0.500, 0.000)
Cd (0.000, 0.000, 0.500)
Cd (0.000, 0.500, 0.000)
Cd (0.500, 0.000, 0.000)
Cd (0.500, 0.500, 0.500)

Material: NdEr6Tm8
Method: DFT, PBE
State: relaxed

Computed properties:
total magnetization: 0.000 μB per atom
E: -64.4 eV/cell
density: 8610 kg/m3
space-group type: P-3
energy of formation: 234 meV/atom

abc: 9.331 9.331 6.392
angles: 90.00 90.00 120.00
Atoms (fractional coordinates):
Nd (0.000, 0.000, 0.000)
Er (0.101, 0.420, 0.912)
Er (0.318, 0.899, 0.912)
Er (0.420, 0.318, 0.088)
Er (0.580, 0.682, 0.912)
Er (0.682, 0.101, 0.088)
Er (0.899, 0.580, 0.088)
Tm (0.025, 0.685, 0.591)
Tm (0.315, 0.339, 0.591)
Tm (0.333, 0.667, 0.337)
Tm (0.339, 0.025, 0.409)
Tm (0.661, 0.975, 0.591)
Tm (0.667, 0.333, 0.663)
Tm (0.685, 0.661, 0.409)
Tm (0.975, 0.315, 0.409)

Material: TlCr2Te
Method: DFT, PBE
State: relaxed

Computed properties:
total magnetization: 2.053 μB per atom
E: -89.2 eV/cell
density: 7446 kg/m3
space-group type: I-42d
formation energy without anion corrections: 0.613 eV/atom

abc: 7.611 7.611 6.714
angles: 90.00 90.00 90.00
Atoms (fractional coordinates):
Tl (0.000, 0.000, 0.000)
Tl (0.000, 0.500, 0.250)
Tl (0.500, 0.000, 0.750)
Tl (0.500, 0.500, 0.500)
Cr (0.234, 0.250, 0.625)
Cr (0.250, 0.734, 0.875)
Cr (0.250, 0.766, 0.375)
Cr (0.266, 0.250, 0.125)
Cr (0.734, 0.750, 0.125)
Cr (0.750, 0.234, 0.375)
Cr (0.750, 0.266, 0.875)
Cr (0.766, 0.750, 0.625)
Te (0.000, 0.000, 0.500)
Te (0.000, 0.500, 0.750)
Te (0.500, 0.000, 0.250)
Te (0.500, 0.500, 0.000)

Material: TbPr2UO8
Method: DFT, PBE
State: relaxed

Computed properties:
total magnetization: 0.070 μB per atom
E: -103.3 eV/cell
density: 7981 kg/m3
space-group type: Pmmm
formation energy without anion corrections: -3.177 eV/atom

abc: 3.928 5.563 7.682
angles: 90.00 90.00 90.00
Atoms (fractional coordinates):
Tb (0.000, 0.000, 0.000)
Pr (0.500, 0.500, 0.250)
Pr (0.500, 0.500, 0.750)
U (0.000, 0.000, 0.500)
O (0.000, 0.231, 0.275)
O (0.000, 0.231, 0.725)
O (0.000, 0.769, 0.275)
O (0.000, 0.769, 0.725)
O (0.500, 0.221, 0.500)
O (0.500, 0.241, 0.000)
O (0.500, 0.759, 0.000)
O (0.500, 0.779, 0.500)

Material: KLi2Be
Method: DFT, PBE
State: relaxed

Computed properties:
total magnetization: 0.000 μB per atom
E: -24.4 eV/cell
density: 991 kg/m3
space-group type: F-43m
energy of formation: 635 meV/atom

abc: 7.462 7.462 7.462
angles: 90.00 90.00 90.00
Atoms (fractional coordinates):
K (0.000, 0.000, 0.000)
K (0.000, 0.500, 0.500)
K (0.500, 0.000, 0.500)
K (0.500, 0.500, 0.000)
Li (0.000, 0.000, 0.500)
Li (0.000, 0.500, 0.000)
Li (0.250, 0.250, 0.250)
Li (0.250, 0.750, 0.750)
Li (0.500, 0.000, 0.000)
Li (0.500, 0.500, 0.500)
Li (0.750, 0.250, 0.750)
Li (0.750, 0.750, 0.250)
Be (0.250, 0.250, 0.750)
Be (0.250, 0.750, 0.250)
Be (0.750, 0.250, 0.250)
Be (0.750, 0.750, 0.750)

Material: Y5ThCu4
Method: DFT, PBE
State: relaxed

Computed properties:
total magnetization: 0.000 μB per atom
E: -58.0 eV/cell
density: 6642 kg/m3
space-group type: P4/mmm
energy of formation: -187 meV/atom

abc: 3.478 3.478 19.236
angles: 90.00 90.00 90.00
Atoms (fractional coordinates):
Y (0.000, 0.000, 0.000)
Y (0.000, 0.000, 0.183)
Y (0.000, 0.000, 0.365)
Y (0.000, 0.000, 0.635)
Y (0.000, 0.000, 0.817)
Th (0.500, 0.500, 0.500)
Cu (0.500, 0.500, 0.091)
Cu (0.500, 0.500, 0.274)
Cu (0.500, 0.500, 0.726)
Cu (0.500, 0.500, 0.909)

Material: La3Pm3Y5
Method: DFT, PBE
State: relaxed

Computed properties:
total magnetization: 0.003 μB per atom
E: -57.7 eV/cell
density: 5551 kg/m3
space-group type: P-62m
energy of formation: 336 meV/atom

abc: 11.306 11.306 3.503
angles: 90.00 90.00 120.00
Atoms (fractional coordinates):
La (0.000, 0.605, 0.000)
La (0.395, 0.395, 0.000)
La (0.605, 0.000, 0.000)
Pm (0.000, 0.841, 0.500)
Pm (0.159, 0.159, 0.500)
Pm (0.841, 0.000, 0.500)
Y (0.000, 0.339, 0.500)
Y (0.333, 0.667, 0.500)
Y (0.339, 0.000, 0.500)
Y (0.661, 0.661, 0.500)
Y (0.667, 0.333, 0.500)

Material: Li2MgSb2
Method: DFT, PBE
State: relaxed

Computed properties:
total magnetization: 0.000 μB per atom
E: -29.9 eV/cell
density: 4038 kg/m3
space-group type: I4/mmm
formation energy without anion corrections: -0.259 eV/atom

abc: 4.386 4.386 12.043
angles: 90.00 90.00 90.00
Atoms (fractional coordinates):
Li (0.000, 0.500, 0.250)
Li (0.000, 0.500, 0.750)
Li (0.500, 0.000, 0.250)
Li (0.500, 0.000, 0.750)
Mg (0.000, 0.000, 0.000)
Mg (0.500, 0.500, 0.500)
Sb (0.000, 0.000, 0.384)
Sb (0.000, 0.000, 0.616)
Sb (0.500, 0.500, 0.116)
Sb (0.500, 0.500, 0.884)

Material: In2Ga2Pt3
Method: DFT, PBE
State: relaxed

Computed properties:
total magnetization: 0.000 μB per atom
E: -33.4 eV/cell
density: 12248 kg/m3
space-group type: P-1
energy of formation: -536 meV/atom

abc: 4.035 5.384 6.724
angles: 81.73 72.67 68.23
Atoms (fractional coordinates):
In (0.091, 0.212, 0.102)
In (0.909, 0.788, 0.898)
Ga (0.325, 0.306, 0.545)
Ga (0.675, 0.694, 0.455)
Pt (0.000, 0.000, 0.500)
Pt (0.341, 0.622, 0.195)
Pt (0.659, 0.378, 0.805)

Material: AcZrBi2
Method: DFT, PBE
State: relaxed

Computed properties:
total magnetization: 0.345 μB per atom
E: -87.5 eV/cell
density: 10024 kg/m3
space-group type: Fm-3m
energy of formation: -366 meV/atom

abc: 7.872 7.872 7.872
angles: 90.00 90.00 90.00
Atoms (fractional coordinates):
Ac (0.000, 0.000, 0.000)
Ac (0.000, 0.500, 0.500)
Ac (0.500, 0.000, 0.500)
Ac (0.500, 0.500, 0.000)
Zr (0.000, 0.000, 0.500)
Zr (0.000, 0.500, 0.000)
Zr (0.500, 0.000, 0.000)
Zr (0.500, 0.500, 0.500)
Bi (0.250, 0.250, 0.250)
Bi (0.250, 0.250, 0.750)
Bi (0.250, 0.750, 0.250)
Bi (0.250, 0.750, 0.750)
Bi (0.750, 0.250, 0.250)
Bi (0.750, 0.250, 0.750)
Bi (0.750, 0.750, 0.250)
Bi (0.750, 0.750, 0.750)

Material: BaSr2AcPd
Method: DFT, PBE
State: relaxed

Computed properties:
total magnetization: 0.000 μB per atom
E: -16.0 eV/cell
density: 4636 kg/m3
space-group type: P4/mmm
energy of formation: -278 meV/atom

abc: 6.216 6.216 5.988
angles: 90.00 90.00 90.00
Atoms (fractional coordinates):
Ba (0.000, 0.000, 0.000)
Sr (0.000, 0.500, 0.500)
Sr (0.500, 0.000, 0.500)
Ac (0.500, 0.500, 0.000)
Pd (0.500, 0.500, 0.500)

Material: LaPr2Sm9
Method: DFT, PBE
State: relaxed

Computed properties:
total magnetization: 0.000 μB per atom
E: -56.8 eV/cell
density: 7122 kg/m3
space-group type: P4/mmm
energy of formation: 17 meV/atom

abc: 5.166 5.166 15.497
angles: 90.00 90.00 90.00
Atoms (fractional coordinates):
La (0.000, 0.000, 0.000)
Pr (0.000, 0.000, 0.333)
Pr (0.000, 0.000, 0.667)
Sm (0.000, 0.500, 0.167)
Sm (0.000, 0.500, 0.500)
Sm (0.000, 0.500, 0.833)
Sm (0.500, 0.000, 0.167)
Sm (0.500, 0.000, 0.500)
Sm (0.500, 0.000, 0.833)
Sm (0.500, 0.500, 0.000)
Sm (0.500, 0.500, 0.334)
Sm (0.500, 0.500, 0.666)

Material: NaGaPC
Method: DFT, PBE
State: relaxed

Computed properties:
total magnetization: 0.000 μB per atom
E: -35.7 eV/cell
density: 3262 kg/m3
space-group type: Imm2
energy of formation: 285 meV/atom

abc: 2.875 3.437 13.984
angles: 90.00 90.00 90.00
Atoms (fractional coordinates):
Na (0.000, 0.000, 0.000)
Na (0.500, 0.500, 0.500)
Ga (0.000, 0.000, 0.687)
Ga (0.500, 0.500, 0.187)
P (0.000, 0.500, 0.824)
P (0.500, 0.000, 0.324)
C (0.000, 0.000, 0.393)
C (0.500, 0.500, 0.893)

Material: ScGa7Cu5
Method: DFT, PBE
State: relaxed

Computed properties:
total magnetization: 0.000 μB per atom
E: -50.9 eV/cell
density: 7268 kg/m3
space-group type: Imm2
energy of formation: -223 meV/atom

abc: 6.653 6.653 6.653
angles: 134.19 97.01 100.42
Atoms (fractional coordinates):
Sc (0.000, 0.000, 0.000)
Ga (0.196, 0.511, 0.685)
Ga (0.333, 0.995, 0.337)
Ga (0.345, 0.345, 0.000)
Ga (0.650, 0.650, 0.000)
Ga (0.658, 0.995, 0.663)
Ga (0.768, 0.268, 0.500)
Ga (0.827, 0.511, 0.315)
Cu (0.002, 0.006, 0.500)
Cu (0.002, 0.502, 0.995)
Cu (0.242, 0.742, 0.500)
Cu (0.507, 0.006, 0.005)
Cu (0.507, 0.502, 0.500)

Material: TaCrCo2
Method: DFT, PBE
State: relaxed

Computed properties:
total magnetization: 0.273 μB per atom
E: -103.0 eV/cell
density: 11114 kg/m3
space-group type: R3m
energy of formation: 337 meV/atom

abc: 2.655 2.655 25.759
angles: 90.00 90.00 120.00
Atoms (fractional coordinates):
Ta (0.000, 0.000, 0.000)
Ta (0.333, 0.667, 0.667)
Ta (0.667, 0.333, 0.333)
Cr (0.000, 0.000, 0.762)
Cr (0.333, 0.667, 0.428)
Cr (0.667, 0.333, 0.095)
Co (0.000, 0.000, 0.246)
Co (0.000, 0.000, 0.502)
Co (0.333, 0.667, 0.169)
Co (0.333, 0.667, 0.912)
Co (0.667, 0.333, 0.579)
Co (0.667, 0.333, 0.835)

Material: TcIrPb
Method: DFT, PBE
State: relaxed

Computed properties:
total magnetization: 0.000 μB per atom
E: -43.5 eV/cell
density: 15081 kg/m3
space-group type: I4mm
energy of formation: 391 meV/atom

abc: 2.988 2.988 12.270
angles: 90.00 90.00 90.00
Atoms (fractional coordinates):
Tc (0.000, 0.000, 0.000)
Tc (0.500, 0.500, 0.500)
Ir (0.000, 0.000, 0.375)
Ir (0.500, 0.500, 0.875)
Pb (0.000, 0.000, 0.683)
Pb (0.500, 0.500, 0.183)

Material: Pm2In5Pt3
Method: DFT, PBE
State: relaxed

Computed properties:
total magnetization: 0.000 μB per atom
E: -97.5 eV/cell
density: 10699 kg/m3
space-group type: Cmc2_1
energy of formation: -744 meV/atom

abc: 13.643 13.643 7.391
angles: 90.00 90.00 160.91
Atoms (fractional coordinates):
Pm (0.022, 0.978, 0.500)
Pm (0.325, 0.675, 0.574)
Pm (0.675, 0.325, 0.074)
Pm (0.978, 0.022, 0.000)
In (0.099, 0.901, 0.873)
In (0.207, 0.793, 0.371)
In (0.208, 0.792, 0.781)
In (0.376, 0.624, 0.025)
In (0.447, 0.553, 0.668)
In (0.553, 0.447, 0.168)
In (0.624, 0.376, 0.525)
In (0.792, 0.208, 0.281)
In (0.793, 0.207, 0.871)
In (0.901, 0.099, 0.373)
Pt (0.109, 0.891, 0.258)
Pt (0.272, 0.728, 0.078)
Pt (0.455, 0.545, 0.283)
Pt (0.545, 0.455, 0.783)
Pt (0.728, 0.272, 0.578)
Pt (0.891, 0.109, 0.758)